[1]
A plane-wave DFT calculation with GGA-PBE was carried out for an optimized crystal structure of Cu2HPtAu.

The calculation puts the relative energy among the computed polymorphs at 155 meV/atom.

The space group is P4/mmm (No. 123) and the conventional cell measures 3.981, 3.981 and 3.832 Å, with angles of 90.00, 90.00 and 90.00 degrees. The inequivalent atoms are Cu at (0.000, 0.500, 0.000), H at (0.000, 0.000, 0.000), Pt at (0.500, 0.500, 0.500) and Au at (0.000, 0.000, 0.500).

---

[2]
A plane-wave DFT calculation with GGA-PBE was carried out for an optimized crystal structure of CuHPt2Au.

The calculation puts the relative energy among the computed polymorphs at 67 meV/atom.

The space group is P4/mmm (No. 123) and the conventional cell measures 3.938, 3.938 and 4.231 Å, with angles of 90.00, 90.00 and 90.00 degrees. The inequivalent atoms are Cu at (0.000, 0.000, 0.000), H at (0.500, 0.500, 0.500), Pt at (0.000, 0.500, 0.500) and Au at (0.500, 0.500, 0.000).

---

Number 1: volume 60.7 Å³/f.u.. Number 2: volume 65.6 Å³/f.u..